Entry 1:
# TlPNCl2

An optimized crystal structure of TlPNCl2 (PBE-GGA, Alexandria).

Values from the calculation:
The formation energy without anion corrections is 1.39 eV per formula unit. The calculation puts the total energy at -18.4 eV for the cell shown.

Geometry as CIF:
```
data_TlPNCl2
_cell_length_a 6.230
_cell_length_b 6.230
_cell_length_c 3.284
_cell_angle_alpha 90.00
_cell_angle_beta 90.00
_cell_angle_gamma 90.00
_space_group_name_H-M_alt 'P 1'
_space_group_IT_number 1
loop_
_space_group_symop_operation_xyz
'x,y,z'
loop_
_atom_site_label
_atom_site_type_symbol
_atom_site_fract_x
_atom_site_fract_y
_atom_site_fract_z
Tl1 Tl 0.000 0.000 0.000
P1 P 0.500 0.500 0.000
N1 N 0.500 0.500 0.500
Cl1 Cl 0.000 0.500 0.500
Cl2 Cl 0.500 0.000 0.500
```

=====

Entry 2:
# LiSc2BeO

An optimized crystal structure of LiSc2BeO (PBE-GGA, Alexandria).

Values from the calculation:
The formation energy without anion corrections is -5.65 eV per formula unit. The calculation puts the total energy at -28.9 eV for the cell shown.

Geometry as CIF:
```
data_LiSc2BeO
_cell_length_a 4.365
_cell_length_b 4.365
_cell_length_c 3.770
_cell_angle_alpha 90.00
_cell_angle_beta 90.00
_cell_angle_gamma 90.00
_space_group_name_H-M_alt 'P 1'
_space_group_IT_number 1
loop_
_space_group_symop_operation_xyz
'x,y,z'
loop_
_atom_site_label
_atom_site_type_symbol
_atom_site_fract_x
_atom_site_fract_y
_atom_site_fract_z
Li1 Li 0.000 0.000 0.000
Sc1 Sc 0.000 0.500 0.500
Sc2 Sc 0.500 0.000 0.500
Be1 Be 0.500 0.500 0.000
O1 O 0.000 0.000 0.500
```

=====

Entry 3:
# K2GaSi

An optimized crystal structure of K2GaSi (PBE-GGA, Alexandria).

Values from the calculation:
The formation energy without anion corrections is -0.27 eV per formula unit. The calculation puts the total energy at -10.9 eV for the cell shown.

Geometry as CIF:
```
data_K2GaSi
_cell_length_a 9.840
_cell_length_b 9.840
_cell_length_c 9.840
_cell_angle_alpha 24.78
_cell_angle_beta 24.78
_cell_angle_gamma 24.78
_space_group_name_H-M_alt 'P 1'
_space_group_IT_number 1
loop_
_space_group_symop_operation_xyz
'x,y,z'
loop_
_atom_site_label
_atom_site_type_symbol
_atom_site_fract_x
_atom_site_fract_y
_atom_site_fract_z
K1 K 0.000 0.000 0.000
K2 K 0.187 0.187 0.187
Ga1 Ga 0.427 0.427 0.427
Si1 Si 0.760 0.760 0.760
```

=====

Entry 4:
# MgCrTe

An optimized crystal structure of MgCrTe (PBE-GGA, Alexandria).

Values from the calculation:
The formation energy without anion corrections is 0.22 eV per formula unit. The calculation puts the total energy at -14.1 eV for the cell shown.

Geometry as CIF:
```
data_MgCrTe
_cell_length_a 4.655
_cell_length_b 4.655
_cell_length_c 4.655
_cell_angle_alpha 60.00
_cell_angle_beta 60.00
_cell_angle_gamma 60.00
_space_group_name_H-M_alt 'P 1'
_space_group_IT_number 1
loop_
_space_group_symop_operation_xyz
'x,y,z'
loop_
_atom_site_label
_atom_site_type_symbol
_atom_site_fract_x
_atom_site_fract_y
_atom_site_fract_z
Mg1 Mg 0.000 0.000 0.000
Cr1 Cr 0.250 0.250 0.250
Te1 Te 0.500 0.500 0.500
```

=====

Entry 5:
# Pr2NdIrO8

An optimized crystal structure of Pr2NdIrO8 (PBE-GGA, Alexandria).

Values from the calculation:
The formation energy without anion corrections is -26.45 eV per formula unit. The calculation puts the total energy at -89.3 eV for the cell shown.

Geometry as CIF:
```
data_Pr2NdIrO8
_cell_length_a 5.229
_cell_length_b 7.071
_cell_length_c 5.241
_cell_angle_alpha 90.00
_cell_angle_beta 90.00
_cell_angle_gamma 90.00
_space_group_name_H-M_alt 'P 1'
_space_group_IT_number 1
loop_
_space_group_symop_operation_xyz
'x,y,z'
loop_
_atom_site_label
_atom_site_type_symbol
_atom_site_fract_x
_atom_site_fract_y
_atom_site_fract_z
Pr1 Pr 0.000 0.248 0.000
Pr2 Pr 0.000 0.752 0.000
Nd1 Nd 0.500 0.500 0.500
Ir1 Ir 0.500 0.000 0.500
O1 O 0.190 0.500 0.191
O2 O 0.243 0.000 0.246
O3 O 0.323 0.203 0.679
O4 O 0.323 0.797 0.679
O5 O 0.677 0.203 0.321
O6 O 0.677 0.797 0.321
O7 O 0.757 0.000 0.754
O8 O 0.810 0.500 0.809
```

=====

Entry 6:
# Pr2ScSi3Pt4

An optimized crystal structure of Pr2ScSi3Pt4 (PBE-GGA, Alexandria).

Values from the calculation:
The formation energy without anion corrections is -10.98 eV per formula unit. The calculation puts the total energy at -67.3 eV for the cell shown.

Geometry as CIF:
```
data_Pr2ScSi3Pt4
_cell_length_a 4.313
_cell_length_b 4.313
_cell_length_c 10.308
_cell_angle_alpha 90.00
_cell_angle_beta 90.00
_cell_angle_gamma 90.00
_space_group_name_H-M_alt 'P 1'
_space_group_IT_number 1
loop_
_space_group_symop_operation_xyz
'x,y,z'
loop_
_atom_site_label
_atom_site_type_symbol
_atom_site_fract_x
_atom_site_fract_y
_atom_site_fract_z
Pr1 Pr 0.000 0.500 0.239
Pr2 Pr 0.500 0.000 0.761
Sc1 Sc 0.000 0.000 0.500
Si1 Si 0.000 0.500 0.877
Si2 Si 0.500 0.000 0.123
Si3 Si 0.500 0.500 0.500
Pt1 Pt 0.000 0.000 0.000
Pt2 Pt 0.000 0.500 0.644
Pt3 Pt 0.500 0.000 0.356
Pt4 Pt 0.500 0.500 0.000
```

=====

Entry 7:
# BaScIn4O8

An optimized crystal structure of BaScIn4O8 (PBE-GGA, Alexandria).

Values from the calculation:
The formation energy without anion corrections is -27.28 eV per formula unit. The calculation puts the total energy at -86.2 eV for the cell shown.

Geometry as CIF:
```
data_BaScIn4O8
_cell_length_a 6.720
_cell_length_b 6.720
_cell_length_c 6.720
_cell_angle_alpha 60.88
_cell_angle_beta 60.88
_cell_angle_gamma 60.88
_space_group_name_H-M_alt 'P 1'
_space_group_IT_number 1
loop_
_space_group_symop_operation_xyz
'x,y,z'
loop_
_atom_site_label
_atom_site_type_symbol
_atom_site_fract_x
_atom_site_fract_y
_atom_site_fract_z
Ba1 Ba 0.000 0.000 0.000
Sc1 Sc 0.626 0.626 0.626
In1 In 0.119 0.623 0.623
In2 In 0.246 0.246 0.246
In3 In 0.623 0.119 0.623
In4 In 0.623 0.623 0.119
O1 O 0.384 0.384 0.384
O2 O 0.384 0.384 0.835
O3 O 0.384 0.835 0.384
O4 O 0.439 0.842 0.842
O5 O 0.835 0.384 0.384
O6 O 0.842 0.439 0.842
O7 O 0.842 0.842 0.439
O8 O 0.850 0.850 0.850
```

=====

Entry 8:
# Ac3Nd2Pt2

An optimized crystal structure of Ac3Nd2Pt2 (PBE-GGA, Alexandria).

Values from the calculation:
The calculation puts the total energy at -38.5 eV for the cell shown. The value obtained for the formation energy is -0.65 eV/atom.

Geometry as CIF:
```
data_Ac3Nd2Pt2
_cell_length_a 6.987
_cell_length_b 6.987
_cell_length_c 9.040
_cell_angle_alpha 106.44
_cell_angle_beta 106.44
_cell_angle_gamma 34.06
_space_group_name_H-M_alt 'P 1'
_space_group_IT_number 1
loop_
_space_group_symop_operation_xyz
'x,y,z'
loop_
_atom_site_label
_atom_site_type_symbol
_atom_site_fract_x
_atom_site_fract_y
_atom_site_fract_z
Ac1 Ac 0.000 0.000 0.000
Ac2 Ac 0.124 0.124 0.429
Ac3 Ac 0.876 0.876 0.571
Nd1 Nd 0.324 0.324 0.185
Nd2 Nd 0.676 0.676 0.815
Pt1 Pt 0.333 0.333 0.825
Pt2 Pt 0.667 0.667 0.175
```

=====

Entry 9:
# Sb3IrS

An optimized crystal structure of Sb3IrS (PBE-GGA, Alexandria).

Values from the calculation:
The formation energy without anion corrections is 5.27 eV per formula unit. The calculation puts the total energy at -20.1 eV for the cell shown.

Geometry as CIF:
```
data_Sb3IrS
_cell_length_a 5.016
_cell_length_b 5.016
_cell_length_c 5.016
_cell_angle_alpha 90.00
_cell_angle_beta 90.00
_cell_angle_gamma 90.00
_space_group_name_H-M_alt 'P 1'
_space_group_IT_number 1
loop_
_space_group_symop_operation_xyz
'x,y,z'
loop_
_atom_site_label
_atom_site_type_symbol
_atom_site_fract_x
_atom_site_fract_y
_atom_site_fract_z
Sb1 Sb 0.000 0.000 0.500
Sb2 Sb 0.000 0.500 0.000
Sb3 Sb 0.500 0.000 0.000
Ir1 Ir 0.500 0.500 0.500
S1 S 0.000 0.000 0.000
```

=====

Entry 10:
# SrNdMgHg

An optimized crystal structure of SrNdMgHg (PBE-GGA, Alexandria).

Values from the calculation:
The calculation puts the total energy at -9.5 eV for the cell shown. The value obtained for the formation energy is -0.28 eV/atom.

Geometry as CIF:
```
data_SrNdMgHg
_cell_length_a 3.972
_cell_length_b 3.972
_cell_length_c 7.933
_cell_angle_alpha 90.00
_cell_angle_beta 90.00
_cell_angle_gamma 90.00
_space_group_name_H-M_alt 'P 1'
_space_group_IT_number 1
loop_
_space_group_symop_operation_xyz
'x,y,z'
loop_
_atom_site_label
_atom_site_type_symbol
_atom_site_fract_x
_atom_site_fract_y
_atom_site_fract_z
Sr1 Sr 0.000 0.000 0.000
Nd1 Nd 0.000 0.000 0.481
Mg1 Mg 0.500 0.500 0.717
Hg1 Hg 0.500 0.500 0.266
```

=====

Question: Which formula does entry 8 have?
Answer: Ac3Nd2Pt2